This record from Alexandria via LeMat-Bulk describes crystalline Mo2PWS at its relaxed geometry. The functional is GGA-PBE.

## Properties
- space group = P4/mmm (123)
- ΔE_f (raw) (eV per atom) = 1.59

Cell: 4.9404 4.9404 4.4853 Å, 90.00 90.00 90.00°
Fractional coordinates of all 5 atoms:
Mo (0.0000, 0.5000, 0.0000)
Mo (0.5000, 0.0000, 0.0000)
P (0.0000, 0.0000, 0.5000)
W (0.0000, 0.0000, 0.0000)
S (0.5000, 0.5000, 0.5000)

---

This record from Alexandria via LeMat-Bulk describes crystalline YMoPS2 at its relaxed geometry. The functional is GGA-PBE.

## Properties
- space group = P4/mmm (123)
- ΔE_f (raw) (eV per atom) = -0.46
- energy relative to the lowest polymorph listed for this composition (eV per formula unit) = 0.00

Cell: 4.6668 4.6668 4.7756 Å, 90.00 90.00 90.00°
Fractional coordinates of all 5 atoms:
Y (0.0000, 0.0000, 0.0000)
Mo (0.5000, 0.5000, 0.5000)
P (0.5000, 0.5000, 0.0000)
S (0.0000, 0.5000, 0.5000)
S (0.5000, 0.0000, 0.5000)

---

Number 1: total magnetic moment 2.980 μB/cell. Number 2: total magnetic moment 0.338 μB/cell.